[1]
# Nb3AgW | Alexandria via LeMat-Bulk | PBE | relaxed
data_Nb3AgW
_chemical_formula_sum 'Nb3 Ag1 W1'
_cell_length_a 4.8832
_cell_length_b 4.8832
_cell_length_c 4.8832
_cell_angle_alpha 90.00
_cell_angle_beta 90.00
_cell_angle_gamma 90.00
_space_group_name_H-M_alt 'P 1'
_space_group_IT_number 1
_space_group_name_Hall 'P 1'
loop_
_atom_site_label
_atom_site_fract_x
_atom_site_fract_y
_atom_site_fract_z
Nb1 0.0000 0.0000 0.5000
Nb2 0.0000 0.5000 0.0000
Nb3 0.5000 0.0000 0.0000
Ag1 0.5000 0.5000 0.5000
W1 0.0000 0.0000 0.0000
# Size of the total moment (μB/f.u.): 0.00
# Density of states at the Fermi level (states/eV per atom): 1.157
# Crystal system: cubic
# Space group: No. 221
# DFT total energy (eV per atom): -7.8391
# Energy of formation from the pure elements (eV/atom): 1.3637

---

[2]
# NbAgW3 | Alexandria via LeMat-Bulk | PBE | relaxed
data_NbAgW3
_chemical_formula_sum 'Nb1 Ag1 W3'
_cell_length_a 4.7746
_cell_length_b 4.7746
_cell_length_c 4.7746
_cell_angle_alpha 90.00
_cell_angle_beta 90.00
_cell_angle_gamma 90.00
_space_group_name_H-M_alt 'P 1'
_space_group_IT_number 1
_space_group_name_Hall 'P 1'
loop_
_atom_site_label
_atom_site_fract_x
_atom_site_fract_y
_atom_site_fract_z
Nb1 0.0000 0.0000 0.0000
Ag1 0.5000 0.5000 0.5000
W1 0.0000 0.0000 0.5000
W2 0.0000 0.5000 0.0000
W3 0.5000 0.0000 0.0000
# Size of the total moment (μB/f.u.): 0.00
# Density of states at the Fermi level (states/eV per atom): 0.527
# Crystal system: cubic
# Space group: No. 221
# DFT total energy (eV per atom): -8.0799
# Energy of formation from the pure elements (eV/atom): 2.2762

---

[3]
# NbAg2W | Alexandria via LeMat-Bulk | PBE | relaxed
data_NbAg2W
_chemical_formula_sum 'Nb2 Ag4 W2'
_cell_length_a 5.9547
_cell_length_b 5.9547
_cell_length_c 5.9547
_cell_angle_alpha 101.22
_cell_angle_beta 101.22
_cell_angle_gamma 127.64
_space_group_name_H-M_alt 'P 1'
_space_group_IT_number 1
_space_group_name_Hall 'P 1'
loop_
_atom_site_label
_atom_site_fract_x
_atom_site_fract_y
_atom_site_fract_z
Nb1 0.0000 0.0000 0.0000
Nb2 0.7500 0.2500 0.5000
Ag1 0.1349 0.1250 0.5099
Ag2 0.3750 0.8651 0.9901
Ag3 0.6151 0.6250 0.4901
Ag4 0.8750 0.3849 0.0099
W1 0.2500 0.7500 0.5000
W2 0.5000 0.5000 0.0000
# Size of the total moment (μB/f.u.): 0.00
# Density of states at the Fermi level (states/eV per atom): 0.680
# Crystal system: tetragonal
# Space group: No. 122
# DFT total energy (eV per atom): -6.1176
# Energy of formation from the pure elements (eV/atom): 1.0638

---

[4]
# NbAg2W | Alexandria via LeMat-Bulk | PBE | relaxed
data_NbAg2W
_chemical_formula_sum 'Nb1 Ag2 W1'
_cell_length_a 4.6197
_cell_length_b 4.6197
_cell_length_c 4.6197
_cell_angle_alpha 60.00
_cell_angle_beta 60.00
_cell_angle_gamma 60.00
_space_group_name_H-M_alt 'P 1'
_space_group_IT_number 1
_space_group_name_Hall 'P 1'
loop_
_atom_site_label
_atom_site_fract_x
_atom_site_fract_y
_atom_site_fract_z
Nb1 0.0000 0.0000 0.0000
Ag1 0.2500 0.2500 0.2500
Ag2 0.7500 0.7500 0.7500
W1 0.5000 0.5000 0.5000
# Size of the total moment (μB/f.u.): 0.00
# Density of states at the Fermi level (states/eV per atom): 1.746
# Crystal system: cubic
# Space group: No. 225
# DFT total energy (eV per atom): -6.3040
# Energy of formation from the pure elements (eV/atom): 0.8774

---

[5]
# Nb3AgW | Alexandria via LeMat-Bulk | PBE | relaxed
data_Nb3AgW
_chemical_formula_sum 'Nb3 Ag1 W1'
_cell_length_a 4.8234
_cell_length_b 4.8234
_cell_length_c 4.8234
_cell_angle_alpha 90.00
_cell_angle_beta 90.00
_cell_angle_gamma 90.00
_space_group_name_H-M_alt 'P 1'
_space_group_IT_number 1
_space_group_name_Hall 'P 1'
loop_
_atom_site_label
_atom_site_fract_x
_atom_site_fract_y
_atom_site_fract_z
Nb1 0.0000 0.0000 0.5000
Nb2 0.0000 0.5000 0.0000
Nb3 0.5000 0.0000 0.0000
Ag1 0.0000 0.0000 0.0000
W1 0.5000 0.5000 0.5000
# Size of the total moment (μB/f.u.): 0.00
# Density of states at the Fermi level (states/eV per atom): 1.466
# Crystal system: cubic
# Space group: No. 221
# DFT total energy (eV per atom): -6.9829
# Energy of formation from the pure elements (eV/atom): 2.2199

---

[6]
# YNb2Ag | Alexandria via LeMat-Bulk | PBE | relaxed
data_YNb2Ag
_chemical_formula_sum 'Y1 Nb2 Ag1'
_cell_length_a 4.8435
_cell_length_b 4.8435
_cell_length_c 4.8435
_cell_angle_alpha 60.00
_cell_angle_beta 60.00
_cell_angle_gamma 60.00
_space_group_name_H-M_alt 'P 1'
_space_group_IT_number 1
_space_group_name_Hall 'P 1'
loop_
_atom_site_label
_atom_site_fract_x
_atom_site_fract_y
_atom_site_fract_z
Y1 0.0000 0.0000 0.0000
Nb1 0.2500 0.2500 0.2500
Nb2 0.7500 0.7500 0.7500
Ag1 0.5000 0.5000 0.5000
# Size of the total moment (μB/f.u.): 0.00
# Density of states at the Fermi level (states/eV per atom): 0.668
# Crystal system: cubic
# Space group: No. 225
# DFT total energy (eV per atom): -6.7742
# Energy of formation from the pure elements (eV/atom): 0.5895

---

[7]
# YNbAg2 | Alexandria via LeMat-Bulk | PBE | relaxed
data_YNbAg2
_chemical_formula_sum 'Y2 Nb2 Ag4'
_cell_length_a 6.2690
_cell_length_b 6.2690
_cell_length_c 6.2690
_cell_angle_alpha 101.81
_cell_angle_beta 101.81
_cell_angle_gamma 126.20
_space_group_name_H-M_alt 'P 1'
_space_group_IT_number 1
_space_group_name_Hall 'P 1'
loop_
_atom_site_label
_atom_site_fract_x
_atom_site_fract_y
_atom_site_fract_z
Y1 0.0000 0.0000 0.0000
Y2 0.7500 0.2500 0.5000
Nb1 0.2500 0.7500 0.5000
Nb2 0.5000 0.5000 0.0000
Ag1 0.1498 0.6250 0.0248
Ag2 0.3750 0.3998 0.5248
Ag3 0.6002 0.1250 0.9752
Ag4 0.8750 0.8502 0.4752
# Size of the total moment (μB/f.u.): 0.00
# Density of states at the Fermi level (states/eV per atom): 1.429
# Crystal system: tetragonal
# Space group: No. 122
# DFT total energy (eV per atom): -5.0757
# Energy of formation from the pure elements (eV/atom): 0.4834

---

[8]
# YNbAg3 | Alexandria via LeMat-Bulk | PBE | relaxed
data_YNbAg3
_chemical_formula_sum 'Y1 Nb1 Ag3'
_cell_length_a 5.0918
_cell_length_b 5.0918
_cell_length_c 5.0918
_cell_angle_alpha 90.00
_cell_angle_beta 90.00
_cell_angle_gamma 90.00
_space_group_name_H-M_alt 'P 1'
_space_group_IT_number 1
_space_group_name_Hall 'P 1'
loop_
_atom_site_label
_atom_site_fract_x
_atom_site_fract_y
_atom_site_fract_z
Y1 0.0000 0.0000 0.0000
Nb1 0.5000 0.5000 0.5000
Ag1 0.0000 0.5000 0.5000
Ag2 0.5000 0.0000 0.5000
Ag3 0.5000 0.5000 0.0000
# Size of the total moment (μB/f.u.): 0.98
# Density of states at the Fermi level (states/eV per atom): 1.360
# Crystal system: cubic
# Space group: No. 221
# DFT total energy (eV per atom): -4.1178
# Energy of formation from the pure elements (eV/atom): 0.8998

---

[9]
# YNb3Ag | Alexandria via LeMat-Bulk | PBE | relaxed
data_YNb3Ag
_chemical_formula_sum 'Y1 Nb3 Ag1'
_cell_length_a 4.9428
_cell_length_b 4.9428
_cell_length_c 4.9428
_cell_angle_alpha 90.00
_cell_angle_beta 90.00
_cell_angle_gamma 90.00
_space_group_name_H-M_alt 'P 1'
_space_group_IT_number 1
_space_group_name_Hall 'P 1'
loop_
_atom_site_label
_atom_site_fract_x
_atom_site_fract_y
_atom_site_fract_z
Y1 0.0000 0.0000 0.0000
Nb1 0.0000 0.0000 0.5000
Nb2 0.0000 0.5000 0.0000
Nb3 0.5000 0.0000 0.0000
Ag1 0.5000 0.5000 0.5000
# Size of the total moment (μB/f.u.): 0.00
# Density of states at the Fermi level (states/eV per atom): 1.541
# Crystal system: cubic
# Space group: No. 221
# DFT total energy (eV per atom): -5.8383
# Energy of formation from the pure elements (eV/atom): 2.0666

---

[10]
# YNb2Ag | Alexandria via LeMat-Bulk | PBE | relaxed
data_YNb2Ag
_chemical_formula_sum 'Y2 Nb4 Ag2'
_cell_length_a 11.2563
_cell_length_b 11.2563
_cell_length_c 11.2563
_cell_angle_alpha 159.53
_cell_angle_beta 159.53
_cell_angle_gamma 29.11
_space_group_name_H-M_alt 'P 1'
_space_group_IT_number 1
_space_group_name_Hall 'P 1'
loop_
_atom_site_label
_atom_site_fract_x
_atom_site_fract_y
_atom_site_fract_z
Y1 0.0000 0.0000 0.0000
Y2 0.7500 0.2500 0.5000
Nb1 0.1288 0.6250 0.0038
Nb2 0.3750 0.3788 0.5038
Nb3 0.6212 0.1250 0.9962
Nb4 0.8750 0.8712 0.4962
Ag1 0.2500 0.7500 0.5000
Ag2 0.5000 0.5000 0.0000
# Size of the total moment (μB/f.u.): 0.00
# Density of states at the Fermi level (states/eV per atom): 0.993
# Crystal system: tetragonal
# Space group: No. 122
# DFT total energy (eV per atom): -6.8459
# Energy of formation from the pure elements (eV/atom): 0.5178

---

[11]
# YNb3Ag | Alexandria via LeMat-Bulk | PBE | relaxed
data_YNb3Ag
_chemical_formula_sum 'Y1 Nb3 Ag1'
_cell_length_a 5.0109
_cell_length_b 5.0109
_cell_length_c 5.0109
_cell_angle_alpha 90.00
_cell_angle_beta 90.00
_cell_angle_gamma 90.00
_space_group_name_H-M_alt 'P 1'
_space_group_IT_number 1
_space_group_name_Hall 'P 1'
loop_
_atom_site_label
_atom_site_fract_x
_atom_site_fract_y
_atom_site_fract_z
Y1 0.0000 0.0000 0.0000
Nb1 0.0000 0.5000 0.5000
Nb2 0.5000 0.0000 0.5000
Nb3 0.5000 0.5000 0.0000
Ag1 0.5000 0.5000 0.5000
# Size of the total moment (μB/f.u.): 0.00
# Density of states at the Fermi level (states/eV per atom): 2.051
# Crystal system: cubic
# Space group: No. 221
# DFT total energy (eV per atom): -6.4685
# Energy of formation from the pure elements (eV/atom): 1.4365

---

[12]
# YNbAg2 | Alexandria via LeMat-Bulk | PBE | relaxed
data_YNbAg2
_chemical_formula_sum 'Y1 Nb1 Ag2'
_cell_length_a 4.9304
_cell_length_b 4.9304
_cell_length_c 4.9304
_cell_angle_alpha 60.00
_cell_angle_beta 60.00
_cell_angle_gamma 60.00
_space_group_name_H-M_alt 'P 1'
_space_group_IT_number 1
_space_group_name_Hall 'P 1'
loop_
_atom_site_label
_atom_site_fract_x
_atom_site_fract_y
_atom_site_fract_z
Y1 0.0000 0.0000 0.0000
Nb1 0.5000 0.5000 0.5000
Ag1 0.2500 0.2500 0.2500
Ag2 0.7500 0.7500 0.7500
# Size of the total moment (μB/f.u.): 1.71
# Density of states at the Fermi level (states/eV per atom): 0.994
# Crystal system: cubic
# Space group: No. 225
# DFT total energy (eV per atom): -5.3537
# Energy of formation from the pure elements (eV/atom): 0.2053